[1]
First-principles (PBE) data for an optimized crystal structure of ScBeTc2, as listed in the Alexandria database.

Cell and atoms, written as extended XYZ:
```
4
Lattice="2.753 -0.001 0.000 -0.781 2.640 0.000 0.000 0.000 7.838" Properties=species:S:1:pos:R:3 pbc="T T T"
Tc 0.000 0.000 3.612
Tc 0.000 0.000 0.307
Be 0.986 1.320 1.960
Sc 0.986 1.320 5.879
```

Calculated values
- symmetry = Cmmm (65)
- volume (Å³/f.u.) = 57.0
- D(E_F) (states/eV/f.u.) = 2.6
- final energy (eV per cell) = -30.660
- energy relative to the elements (eV per atom) = 0.03

[2]
First-principles (PBE) data for an optimized crystal structure of ScBeTc2, as listed in the Alexandria database.

Cell and atoms, written as extended XYZ:
```
4
Lattice="3.146 0.000 0.000 0.000 3.146 0.000 0.000 0.000 6.016" Properties=species:S:1:pos:R:3 pbc="T T T"
Be 1.573 1.573 1.504
Tc 0.000 0.000 2.644
Tc 0.000 0.000 0.364
Sc 1.573 1.573 4.512
```

Calculated values
- symmetry = P4/mmm (123)
- volume (Å³/f.u.) = 59.5
- D(E_F) (states/eV/f.u.) = 2.2
- final energy (eV per cell) = -31.228
- energy relative to the elements (eV per atom) = -0.11

[3]
First-principles (PBE) data for an optimized crystal structure of ScBeTc2, as listed in the Alexandria database.

Cell and atoms, written as extended XYZ:
```
4
Lattice="-2.452 -1.892 -0.959 1.951 -3.373 1.666 -1.972 0.683 3.692" Properties=species:S:1:pos:R:3 pbc="T T T"
Sc -0.010 -1.345 2.679
Tc -0.250 -2.633 0.353
Tc 0.000 0.000 0.000
Be -2.212 -0.605 1.366
```

Calculated values
- symmetry = Pmmm (47)
- volume (Å³/f.u.) = 58.3
- D(E_F) (states/eV/f.u.) = 3.0
- final energy (eV per cell) = -30.842
- energy relative to the elements (eV per atom) = -0.01

[4]
First-principles (PBE) data for an optimized crystal structure of Sc2BeTc, as listed in the Alexandria database.

Cell and atoms, written as extended XYZ:
```
4
Lattice="3.911 3.359 7.849 2.615 0.924 8.972 5.307 0.732 7.713" Properties=species:S:1:pos:R:3 pbc="T T T"
Sc 10.740 4.552 22.269
Sc 1.092 0.463 2.265
Be 5.916 2.507 12.267
Tc 0.000 0.000 0.000
```

Calculated values
- symmetry = R-3m (166)
- volume (Å³/f.u.) = 70.9
- D(E_F) (states/eV/f.u.) = 4.3
- final energy (eV per cell) = -24.634
- energy relative to the elements (eV per atom) = 0.53

[5]
First-principles (PBE) data for an optimized crystal structure of ScBeTc2, as listed in the Alexandria database.

Cell and atoms, written as extended XYZ:
```
4
Lattice="-0.474 -0.014 4.304 -0.045 -2.993 -0.015 4.574 -0.608 0.501" Properties=species:S:1:pos:R:3 pbc="T T T"
Sc 3.160 -2.708 2.517
Be 0.895 -0.907 2.274
Tc 0.070 -0.224 0.007
Tc 2.194 -1.577 0.236
```

Calculated values
- symmetry = P2/m (10)
- volume (Å³/f.u.) = 59.8
- D(E_F) (states/eV/f.u.) = 3.2
- final energy (eV per cell) = -30.508
- energy relative to the elements (eV per atom) = 0.07

[6]
First-principles (PBE) data for an optimized crystal structure of Sc3BeTc, as listed in the Alexandria database.

Cell and atoms, written as extended XYZ:
```
5
Lattice="4.654 0.000 0.000 0.000 4.654 0.000 0.000 0.000 4.654" Properties=species:S:1:pos:R:3 pbc="T T T"
Be 0.000 0.000 0.000
Sc 0.000 0.000 2.327
Sc 2.327 0.000 0.000
Sc 0.000 2.327 0.000
Tc 2.327 2.327 2.327
```

Calculated values
- symmetry = Pm-3m (221)
- volume (Å³/f.u.) = 100.8
- D(E_F) (states/eV/f.u.) = 5.5
- final energy (eV per cell) = -30.029
- energy relative to the elements (eV per atom) = 0.61

[7]
First-principles (PBE) data for an optimized crystal structure of ScBeTc2, as listed in the Alexandria database.

Cell and atoms, written as extended XYZ:
```
4
Lattice="-2.882 -0.193 1.017 0.997 -1.323 2.575 0.572 5.683 2.700" Properties=species:S:1:pos:R:3 pbc="T T T"
Tc -0.787 0.779 2.526
Tc 0.021 0.207 0.098
Be 0.259 2.576 1.224
Sc -0.519 3.445 3.792
```

Calculated values
- symmetry = P4mm (99)
- volume (Å³/f.u.) = 59.2
- D(E_F) (states/eV/f.u.) = 2.3
- final energy (eV per cell) = -31.508
- energy relative to the elements (eV per atom) = -0.18

[8]
First-principles (PBE) data for an optimized crystal structure of ScBeTc2, as listed in the Alexandria database.

Cell and atoms, written as extended XYZ:
```
4
Lattice="-0.023 0.805 7.678 -2.738 -0.369 7.209 -0.345 -2.161 7.404" Properties=species:S:1:pos:R:3 pbc="T T T"
Tc -1.606 -0.892 11.526
Tc -3.053 -1.695 21.910
Sc -2.330 -1.294 16.718
Be -0.777 -0.431 5.573
```

Calculated values
- symmetry = R-3m (166)
- volume (Å³/f.u.) = 58.5
- D(E_F) (states/eV/f.u.) = 5.1
- final energy (eV per cell) = -30.150
- energy relative to the elements (eV per atom) = 0.16

[9]
First-principles (PBE) data for an optimized crystal structure of ScBeTc2, as listed in the Alexandria database.

Cell and atoms, written as extended XYZ:
```
8
Lattice="-3.271 -0.572 -1.831 1.762 -2.331 -2.418 -2.556 -8.404 3.266" Properties=species:S:1:pos:R:3 pbc="T T T"
Be -0.775 -6.094 -0.639
Be -0.755 -1.452 -2.125
Tc -0.127 -3.661 -1.025
Tc -2.283 -2.719 -0.530
Tc -2.386 -7.521 0.722
Tc -3.335 -8.715 -1.136
Sc -3.291 -5.214 -0.345
Sc 0.000 0.000 0.000
```

Calculated values
- symmetry = I-42d (122)
- volume (Å³/f.u.) = 64.6
- D(E_F) (states/eV/f.u.) = 3.3
- final energy (eV per cell) = -58.678
- energy relative to the elements (eV per atom) = 0.36

[10]
First-principles (PBE) data for an optimized crystal structure of Sc2BeTc, as listed in the Alexandria database.

Cell and atoms, written as extended XYZ:
```
4
Lattice="-0.597 3.006 -0.906 -2.802 -0.094 1.534 3.067 2.340 5.746" Properties=species:S:1:pos:R:3 pbc="T T T"
Sc -0.736 2.191 2.119
Sc 2.843 2.170 5.327
Tc 1.740 1.328 3.261
Be 0.421 3.074 4.286
```

Calculated values
- symmetry = P4mm (99)
- volume (Å³/f.u.) = 70.7
- D(E_F) (states/eV/f.u.) = 3.4
- final energy (eV per cell) = -27.294
- energy relative to the elements (eV per atom) = -0.13

[11]
First-principles (PBE) data for an optimized crystal structure of Sc4BeTc, as listed in the Alexandria database.

Cell and atoms, written as extended XYZ:
```
6
Lattice="3.250 -0.001 0.000 0.001 3.250 0.000 -0.001 -0.001 11.195" Properties=species:S:1:pos:R:3 pbc="T T T"
Sc 0.000 0.000 4.068
Sc 3.250 3.249 7.128
Sc 1.625 1.624 9.681
Sc 1.625 1.625 1.514
Tc 1.625 1.624 5.598
Be 0.000 0.000 0.000
```

Calculated values
- symmetry = P4/mmm (123)
- volume (Å³/f.u.) = 118.3
- D(E_F) (states/eV/f.u.) = 6.5
- final energy (eV per cell) = -40.004
- energy relative to the elements (eV per atom) = -0.10

[12]
First-principles (PBE) data for an optimized crystal structure of Sc4BeTc, as listed in the Alexandria database.

Cell and atoms, written as extended XYZ:
```
6
Lattice="0.000 3.879 3.879 3.879 0.000 3.879 3.879 3.879 0.000" Properties=species:S:1:pos:R:3 pbc="T T T"
Tc 5.818 5.818 5.818
Sc 2.923 2.923 2.923
Sc 4.835 4.835 2.923
Sc 4.835 2.923 4.835
Sc 2.923 4.835 4.835
Be 0.000 0.000 0.000
```

Calculated values
- symmetry = F-43m (216)
- volume (Å³/f.u.) = 116.7
- D(E_F) (states/eV/f.u.) = 6.5
- final energy (eV per cell) = -35.241
- energy relative to the elements (eV per atom) = 0.70

[13]
First-principles (PBE) data for an optimized crystal structure of Sc2BeTc, as listed in the Alexandria database.

Cell and atoms, written as extended XYZ:
```
4
Lattice="5.115 0.002 -0.002 4.027 3.154 -0.002 1.588 0.548 4.152" Properties=species:S:1:pos:R:3 pbc="T T T"
Sc 1.725 0.595 3.961
Sc 2.612 0.902 1.170
Be 8.325 2.874 3.104
Tc 5.019 1.733 2.138
```

Calculated values
- symmetry = Cm (8)
- volume (Å³/f.u.) = 67.0
- D(E_F) (states/eV/f.u.) = 2.9
- final energy (eV per cell) = -27.165
- energy relative to the elements (eV per atom) = -0.10

[14]
First-principles (PBE) data for an optimized crystal structure of Sc3BeTc, as listed in the Alexandria database.

Cell and atoms, written as extended XYZ:
```
5
Lattice="-4.699 0.833 1.348 -1.585 -2.528 -3.961 0.022 -4.185 2.662" Properties=species:S:1:pos:R:3 pbc="T T T"
Sc -0.792 -1.264 -1.981
Sc 0.011 -2.092 1.331
Sc -2.350 0.416 0.674
Be -3.131 -2.940 0.024
Tc 0.000 0.000 0.000
```

Calculated values
- symmetry = Pm-3m (221)
- volume (Å³/f.u.) = 122.0
- D(E_F) (states/eV/f.u.) = 5.1
- final energy (eV per cell) = -30.398
- energy relative to the elements (eV per atom) = 0.54

[15]
First-principles (PBE) data for an optimized crystal structure of ScBeTc2, as listed in the Alexandria database.

Cell and atoms, written as extended XYZ:
```
4
Lattice="4.346 0.012 0.000 -0.002 4.346 0.000 -2.172 -2.179 3.069" Properties=species:S:1:pos:R:3 pbc="T T T"
Tc -0.001 2.173 1.535
Tc 0.000 0.000 0.000
Sc 2.173 0.006 1.535
Be 2.172 2.179 0.000
```

Calculated values
- symmetry = I-4m2 (119)
- volume (Å³/f.u.) = 58.0
- D(E_F) (states/eV/f.u.) = 3.0
- final energy (eV per cell) = -31.206
- energy relative to the elements (eV per atom) = -0.10